P) ## CdInMo2 (PBE)

Data for a relaxed structure of CdInMo2.

The structure in extended XYZ format:
```
4
Lattice="-0.436 -3.883 -2.552 2.039 -3.956 1.404 -2.606 -3.541 1.565" Properties=species:S:1:pos:R:3 pbc="T T T"
Mo -0.251 -2.845 0.104
Mo -0.752 -8.535 0.313
Cd 0.000 0.000 0.000
In -0.502 -5.690 0.208
```

* space-group type: Fm-3m (225)


Q) ## CdInMo2 (PBE)

Data for a relaxed structure of CdInMo2.

The structure in extended XYZ format:
```
4
Lattice="5.493 -0.010 -0.002 2.359 4.961 0.002 -3.373 -3.352 2.750" Properties=species:S:1:pos:R:3 pbc="T T T"
Cd 3.993 2.518 0.000
In 1.385 1.997 1.376
Mo 7.656 4.827 0.000
Mo 3.223 -0.318 1.374
```

* space-group type: Imm2 (44)


Stability, lowest: P)


P) ## Sr2CdInN (PBE)

Data for a relaxed structure of Sr2CdInN.

The structure in extended XYZ format:
```
5
Lattice="5.322 0.000 0.000 0.000 5.322 0.000 0.000 0.000 4.649" Properties=species:S:1:pos:R:3 pbc="T T T"
Sr 0.000 2.661 0.000
Sr 2.661 0.000 0.000
N 0.000 0.000 0.000
Cd 2.661 2.661 2.324
In 0.000 0.000 2.324
```

* space-group type: P4/mmm (123)


Q) ## Sr2CdInN (PBE)

Data for a relaxed structure of Sr2CdInN.

The structure in extended XYZ format:
```
5
Lattice="-4.799 -2.409 0.066 2.041 -4.141 -2.744 1.086 -2.055 3.909" Properties=species:S:1:pos:R:3 pbc="T T T"
Sr 1.020 -2.070 -1.372
Sr -2.400 -1.204 0.033
N 0.000 0.000 0.000
Cd 0.543 -1.027 1.954
In -0.837 -4.302 0.616
```

* space-group type: P4/mmm (123)


Stability, lowest: Q)


P) ## Na2CdIn4 (PBE)

Data for a relaxed structure of Na2CdIn4.

The structure in extended XYZ format:
```
7
Lattice="-0.362 4.685 2.180 -6.012 -0.254 -0.453 2.635 -3.012 6.911" Properties=species:S:1:pos:R:3 pbc="T T T"
Na -0.292 1.401 3.095
Na -3.446 0.018 5.544
Cd -3.006 -0.127 -0.226
In -3.262 1.581 2.215
In -3.161 -1.443 2.576
In -0.477 -0.162 6.423
In -0.215 -1.823 3.883
```

* space-group type: Cmmm (65)


Q) ## Na2CdIn4 (PBE)

Data for a relaxed structure of Na2CdIn4.

The structure in extended XYZ format:
```
7
Lattice="-3.304 -4.587 -2.441 -1.856 -4.765 3.430 -2.608 7.826 0.881" Properties=species:S:1:pos:R:3 pbc="T T T"
Na -4.067 -3.761 0.889
Na -3.701 2.235 0.981
Cd 0.000 0.000 0.000
In -4.246 -0.719 -0.532
In -3.522 -0.808 2.402
In -1.652 -2.293 -1.221
In -0.928 -2.383 1.715
```

* space-group type: C2/m (12)


Stability, lowest: P)


P) ## NaCdIn (PBE)

Data for a relaxed structure of NaCdIn.

The structure in extended XYZ format:
```
3
Lattice="3.948 0.000 0.000 0.000 3.948 0.000 -1.974 -1.974 4.897" Properties=species:S:1:pos:R:3 pbc="T T T"
Na 1.974 1.974 1.127
In 0.000 0.000 2.823
Cd 1.974 1.974 4.374
```

* space-group type: I4mm (107)


Q) ## NaCdIn (PBE)

Data for a relaxed structure of NaCdIn.

The structure in extended XYZ format:
```
3
Lattice="3.452 0.000 0.000 0.000 5.089 0.000 0.000 -2.545 4.408" Properties=species:S:1:pos:R:3 pbc="T T T"
Na 2.301 0.000 2.938
Cd 0.579 2.545 1.469
In 0.572 0.000 0.000
```

* space-group type: P-6m2 (187)


R) ## NaCdIn (PBE)

Data for a relaxed structure of NaCdIn.

The structure in extended XYZ format:
```
12
Lattice="4.572 0.000 0.000 0.000 6.817 0.000 0.000 0.000 9.711" Properties=species:S:1:pos:R:3 pbc="T T T"
Na 3.429 0.857 4.047
Na 1.143 2.551 8.903
Na 1.143 5.960 5.664
Na 3.429 4.266 0.808
Cd 3.429 0.840 0.827
Cd 1.143 2.569 5.682
Cd 1.143 5.977 8.885
Cd 3.429 4.249 4.029
In 3.429 0.854 7.357
In 1.143 2.555 2.501
In 1.143 5.964 2.354
In 3.429 4.262 7.210
```

* space-group type: Pnma (62)


Stability, lowest: P)